Here is Pm4PrSm2Tm2 after structural relaxation from Alexandria. Energies are from GGA-PBE.

Unit cell a=15.3554 b=5.1128 c=8.0748 alpha=90.00 beta=108.47 gamma=90.00
Closest atoms and distances in Å follow each position.
Space group C2/m (No. 12)
Asymmetric unit:
Pm: 0.0552 0.0000 0.3319 [4 per cell]  2 Pr 3.61, 4 Sm 3.62, 2 Tm 3.62-3.63, 4 Pm 3.63
Pm: 0.2225 0.5000 0.3304 [4 per cell]  3 Tm 3.57-3.60, 3 Sm 3.60-3.64, 1 Pr 3.61, 5 Pm 3.63-3.65
Pr: 0.0000 0.5000 0.0000 [2 per cell]  6 Pm 3.61, 2 Sm 3.62, 4 Tm 3.64
Sm: 0.1118 0.5000 0.6675 [4 per cell]  3 Tm 3.59-3.60, 7 Pm 3.60-3.64, 1 Pr 3.62, 1 Sm 3.64
Tm: 0.1684 0.0000 0.9994 [4 per cell]  5 Pm 3.57-3.63, 2 Tm 3.58, 3 Sm 3.59-3.60, 2 Pr 3.64

Output
Its density of states at the Fermi level is 13.611 states/eV/f.u. As for the uncorrected energy: -84.0 eV per cell.

Here is LuHfCoCu after structural relaxation from Alexandria. Energies are from GGA-PBE.

Unit cell a=6.5035 b=6.5035 c=6.5035 alpha=90.00 beta=90.00 gamma=90.00
Closest atoms and distances in Å follow each position.
Space group F-43m (No. 216)
Asymmetric unit:
Lu: 0.0000 0.0000 0.0000 [4 per cell]  4 Co 2.82, 4 Cu 2.82
Hf: 0.0000 0.0000 0.5000 [4 per cell]  4 Cu 2.82, 4 Co 2.82
Co: 0.2500 0.2500 0.2500 [4 per cell]  4 Hf 2.82, 4 Lu 2.82
Cu: 0.2500 0.2500 0.7500 [4 per cell]  4 Lu 2.82, 4 Hf 2.82

Output
Its density of states at the Fermi level is 2.508 states/eV/f.u. As for the uncorrected energy: -106.6 eV per cell.

Here is FeP2 after structural relaxation from Alexandria. Energies are from GGA-PBE.

Unit cell a=2.7720 b=14.6480 c=4.1495 alpha=90.00 beta=90.00 gamma=90.00
Closest atoms and distances in Å follow each position.
Space group Cmcm (No. 63)
Asymmetric unit:
Fe: 0.0000 0.1604 0.2500 [4 per cell]  6 P 2.22-2.29
P: 0.0000 0.2152 0.7500 [4 per cell]  4 Fe 2.22-2.29
P: 0.0000 0.4582 0.7500 [4 per cell]  2 Fe 2.22, 2 P 2.41

Output
Its density of states at the Fermi level is 1.051 states/eV/f.u. As for the uncorrected energy: -79.4 eV per cell.

Here is AlTlPtCl6 after structural relaxation from Alexandria. Energies are from GGA-PBE.

Unit cell a=6.4041 b=6.4041 c=7.1935 alpha=90.00 beta=90.00 gamma=120.00
Closest atoms and distances in Å follow each position.
Space group P312 (No. 149)
Asymmetric unit:
Al: 0.0000 0.0000 0.0000 [1 per cell]  6 Cl 2.35
Tl: 0.3333 0.6667 0.5000 [1 per cell]  6 Cl 3.25
Pt: 0.6667 0.3333 0.0000 [1 per cell]  6 Cl 2.54
Cl: 0.3106 0.0225 0.1890 [6 per cell]  1 Al 2.35, 1 Pt 2.54

Output
For the uncorrected formation energy, the calculation gives -906.3 meV/atom. As for the uncorrected energy: -31.4 eV per cell.

Here is MgCdSe2N after structural relaxation from Alexandria. Energies are from GGA-PBE.

Unit cell a=5.2203 b=5.2203 c=4.0205 alpha=90.00 beta=90.00 gamma=90.00
Closest atoms and distances in Å follow each position.
Space group P4/mmm (No. 123)
Asymmetric unit:
Mg: 0.0000 0.0000 0.0000 [1 per cell]  2 N 2.01
Cd: 0.5000 0.5000 0.5000 [1 per cell]  8 Se 3.29
Se: 0.0000 0.5000 0.0000 [2 per cell]  2 Mg 2.61
N: 0.0000 0.0000 0.5000 [1 per cell]  2 Mg 2.01

Output
The distance to the lowest polymorph of the same formula is 0 meV/atom. Its density of states at the Fermi level is 4.073 states/eV/f.u. For the uncorrected formation energy, the calculation gives 478.5 meV/atom. As for the uncorrected energy: -15.4 eV per cell.

Here is Pa4Te2AsSe after structural relaxation from Alexandria. Energies are from GGA-PBE.

Unit cell a=7.0447 b=4.1289 c=7.6500 alpha=90.00 beta=108.43 gamma=90.00
Closest atoms and distances in Å follow each position.
Space group P2/m (No. 10)
Asymmetric unit:
Pa: 0.2394 0.0000 0.2208 [2 per cell]  2 Se 2.86, 1 As 2.86, 3 Te 3.11-3.12
Pa: 0.2592 0.5000 0.7786 [2 per cell]  1 Se 2.86, 2 As 2.86, 3 Te 3.11-3.12
Te: 0.0000 0.0000 0.5000 [1 per cell]  6 Pa 3.11
Te: 0.5000 0.5000 0.5000 [1 per cell]  6 Pa 3.12
As: 0.5000 0.0000 0.0000 [1 per cell]  6 Pa 2.86
Se: 0.0000 0.5000 0.0000 [1 per cell]  6 Pa 2.86

Output
Its density of states at the Fermi level is 16.204 states/eV/f.u. For the uncorrected formation energy, the calculation gives -881.6 meV/atom. As for the uncorrected energy: -59.5 eV per cell.

Here is Sc2IrPt after structural relaxation from Alexandria. Energies are from GGA-PBE.

Unit cell a=3.8831 b=3.8831 c=9.2599 alpha=90.00 beta=90.00 gamma=90.00
Closest atoms and distances in Å follow each position.
Space group I-4m2 (No. 119)
Asymmetric unit:
Sc: 0.0000 0.0000 0.0000 [2 per cell]  4 Pt 2.75, 4 Ir 3.02, 4 Sc 3.02
Sc: 0.0000 0.5000 0.2500 [2 per cell]  4 Ir 2.75, 4 Sc 3.02, 4 Pt 3.02
Ir: 0.0000 0.5000 0.7500 [2 per cell]  8 Sc 2.75-3.02, 4 Pt 3.02
Pt: 0.0000 0.0000 0.5000 [2 per cell]  8 Sc 2.75-3.02, 4 Ir 3.02

Output
Its density of states at the Fermi level is 2.227 states/eV/f.u. As for the uncorrected energy: -62.6 eV per cell.

Here is YLuSnPd after structural relaxation from Alexandria. Energies are from GGA-PBE.

Unit cell a=7.2276 b=7.2276 c=7.2276 alpha=90.00 beta=90.00 gamma=90.00
Closest atoms and distances in Å follow each position.
Space group F-43m (No. 216)
Asymmetric unit:
Y: 0.0000 0.0000 0.0000 [4 per cell]  4 Sn 3.13, 4 Pd 3.13
Lu: 0.0000 0.0000 0.5000 [4 per cell]  4 Sn 3.13, 4 Pd 3.13
Sn: 0.2500 0.2500 0.2500 [4 per cell]  4 Y 3.13, 4 Lu 3.13
Pd: 0.2500 0.2500 0.7500 [4 per cell]  4 Y 3.13, 4 Lu 3.13

Output
Its density of states at the Fermi level is 1.665 states/eV/f.u. As for the uncorrected energy: -92.7 eV per cell.